## Mn2NiAs (PBE)

Data for a geometry-optimized Mn2NiAs structure.

## Properties
Space-group type: P4/mmm, No. 123
Total energy in eV/f.u.: -28.8
Crystal system: tetragonal
DFT formation energy in meV per atom: -8.1
ρ in g/cm³: 7.56

Structure (CIF):
```
data_Mn2NiAs
_chemical_formula_sum 'Mn2 Ni1 As1'
_space_group_name_H-M_alt 'P 1'
_space_group_IT_number 1
_cell_length_a 3.207
_cell_length_b 3.207
_cell_length_c 5.200
_cell_angle_alpha 90.00
_cell_angle_beta 90.00
_cell_angle_gamma 90.00
loop_
_space_group_symop_operation_xyz
'x,y,z'
loop_
_atom_site_label
_atom_site_fract_x
_atom_site_fract_y
_atom_site_fract_z
_atom_site_occupancy
Mn1 0.000 0.000 0.248 1
Mn2 0.000 0.000 0.752 1
Ni1 0.500 0.500 0.000 1
As1 0.500 0.500 0.500 1
```


## ScAlAu (PBE)

Data for a geometry-optimized ScAlAu structure.

## Properties
Space-group type: P3m1, No. 156
Total energy in eV/f.u.: -14.4
Crystal system: trigonal
DFT formation energy in meV per atom: -348.0
ρ in g/cm³: 7.20

Structure (CIF):
```
data_ScAlAu
_chemical_formula_sum 'Sc1 Al1 Au1'
_space_group_name_H-M_alt 'P 1'
_space_group_IT_number 1
_cell_length_a 3.480
_cell_length_b 3.480
_cell_length_c 5.916
_cell_angle_alpha 90.00
_cell_angle_beta 90.00
_cell_angle_gamma 120.00
loop_
_space_group_symop_operation_xyz
'x,y,z'
loop_
_atom_site_label
_atom_site_fract_x
_atom_site_fract_y
_atom_site_fract_z
_atom_site_occupancy
Sc1 0.000 0.000 0.000 1
Al1 0.667 0.333 0.373 1
Au1 0.333 0.667 0.660 1
```


## GeIrO2 (PBE)

Data for a geometry-optimized GeIrO2 structure.

## Properties
Space-group type: I-42d, No. 122
Total energy in eV/f.u.: -23.1
Crystal system: tetragonal
Formation energy from raw total energies in kJ/mol of atoms: 7.0
ρ in g/cm³: 8.55

Structure (CIF):
```
data_GeIrO2
_chemical_formula_sum 'Ge2 Ir2 O4'
_space_group_name_H-M_alt 'P 1'
_space_group_IT_number 1
_cell_length_a 5.765
_cell_length_b 5.765
_cell_length_c 5.765
_cell_angle_alpha 128.08
_cell_angle_beta 128.08
_cell_angle_gamma 76.49
loop_
_space_group_symop_operation_xyz
'x,y,z'
loop_
_atom_site_label
_atom_site_fract_x
_atom_site_fract_y
_atom_site_fract_z
_atom_site_occupancy
Ge1 0.000 0.000 0.000 1
Ge2 0.750 0.250 0.500 1
Ir1 0.250 0.750 0.500 1
Ir2 0.500 0.500 0.000 1
O1 0.130 0.625 0.005 1
O2 0.375 0.380 0.505 1
O3 0.620 0.125 0.995 1
O4 0.875 0.870 0.495 1
```


## Ni2AgSb (PBE)

Data for a geometry-optimized Ni2AgSb structure.

## Properties
Space-group type: R-3m, No. 166
Total energy in eV/f.u.: -17.7
Crystal system: trigonal
Formation energy from raw total energies in kJ/mol of atoms: 20.7
ρ in g/cm³: 8.75

Structure (CIF):
```
data_Ni2AgSb
_chemical_formula_sum 'Ni2 Ag1 Sb1'
_space_group_name_H-M_alt 'P 1'
_space_group_IT_number 1
_cell_length_a 7.624
_cell_length_b 7.624
_cell_length_c 7.624
_cell_angle_alpha 24.27
_cell_angle_beta 24.27
_cell_angle_gamma 24.27
loop_
_space_group_symop_operation_xyz
'x,y,z'
loop_
_atom_site_label
_atom_site_fract_x
_atom_site_fract_y
_atom_site_fract_z
_atom_site_occupancy
Ni1 0.246 0.246 0.246 1
Ni2 0.754 0.754 0.754 1
Ag1 0.000 0.000 0.000 1
Sb1 0.500 0.500 0.500 1
```


## La3GaGe2Pd9 (PBE)

Data for a geometry-optimized La3GaGe2Pd9 structure.

## Properties
Space-group type: P-3m1, No. 164
Total energy in eV/f.u.: -83.1
Crystal system: trigonal
DFT formation energy in meV per atom: -619.2
ρ in g/cm³: 8.00

Structure (CIF):
```
data_La3GaGe2Pd9
_chemical_formula_sum 'La3 Ga1 Ge2 Pd9'
_space_group_name_H-M_alt 'P 1'
_space_group_IT_number 1
_cell_length_a 6.523
_cell_length_b 6.523
_cell_length_c 8.956
_cell_angle_alpha 90.00
_cell_angle_beta 90.00
_cell_angle_gamma 120.00
loop_
_space_group_symop_operation_xyz
'x,y,z'
loop_
_atom_site_label
_atom_site_fract_x
_atom_site_fract_y
_atom_site_fract_z
_atom_site_occupancy
La1 0.000 0.000 0.000 1
La2 0.333 0.667 0.701 1
La3 0.667 0.333 0.299 1
Ga1 0.000 0.000 0.500 1
Ge1 0.333 0.667 0.184 1
Ge2 0.667 0.333 0.816 1
Pd1 0.000 0.500 0.000 1
Pd2 0.140 0.281 0.286 1
Pd3 0.140 0.860 0.286 1
Pd4 0.281 0.140 0.714 1
Pd5 0.500 0.000 0.000 1
Pd6 0.500 0.500 0.000 1
Pd7 0.719 0.860 0.286 1
Pd8 0.860 0.140 0.714 1
Pd9 0.860 0.719 0.714 1
```


## ScUBi2 (PBE)

Data for a geometry-optimized ScUBi2 structure.

## Properties
Space-group type: P4/mmm, No. 123
Total energy in eV/f.u.: -25.9
Crystal system: tetragonal
DFT formation energy in meV per atom: -136.9
E above lowest polymorph in meV/atom: 115
ρ in g/cm³: 10.83

Structure (CIF):
```
data_ScUBi2
_chemical_formula_sum 'Sc1 U1 Bi2'
_space_group_name_H-M_alt 'P 1'
_space_group_IT_number 1
_cell_length_a 5.259
_cell_length_b 5.259
_cell_length_c 3.886
_cell_angle_alpha 90.00
_cell_angle_beta 90.00
_cell_angle_gamma 90.00
loop_
_space_group_symop_operation_xyz
'x,y,z'
loop_
_atom_site_label
_atom_site_fract_x
_atom_site_fract_y
_atom_site_fract_z
_atom_site_occupancy
Sc1 0.000 0.000 0.000 1
U1 0.500 0.500 0.000 1
Bi1 0.000 0.500 0.500 1
Bi2 0.500 0.000 0.500 1
```


## PmBi2Pb2 (PBE)

Data for a geometry-optimized PmBi2Pb2 structure.

## Properties
Space-group type: Cmcm, No. 63
Total energy in eV/f.u.: -21.7
Crystal system: orthorhombic
DFT formation energy in meV per atom: -354.2
ρ in g/cm³: 10.38

Structure (CIF):
```
data_PmBi2Pb2
_chemical_formula_sum 'Pm2 Bi4 Pb4'
_space_group_name_H-M_alt 'P 1'
_space_group_IT_number 1
_cell_length_a 14.279
_cell_length_b 14.279
_cell_length_c 4.734
_cell_angle_alpha 90.00
_cell_angle_beta 90.00
_cell_angle_gamma 161.10
loop_
_space_group_symop_operation_xyz
'x,y,z'
loop_
_atom_site_label
_atom_site_fract_x
_atom_site_fract_y
_atom_site_fract_z
_atom_site_occupancy
Pm1 0.158 0.842 0.750 1
Pm2 0.842 0.158 0.250 1
Bi1 0.250 0.750 0.250 1
Bi2 0.359 0.641 0.750 1
Bi3 0.641 0.359 0.250 1
Bi4 0.750 0.250 0.750 1
Pb1 0.050 0.950 0.250 1
Pb2 0.450 0.550 0.250 1
Pb3 0.550 0.450 0.750 1
Pb4 0.950 0.050 0.750 1
```


## RbCaAs2 (PBE)

Data for a geometry-optimized RbCaAs2 structure.

## Properties
Space-group type: I4_1/amd, No. 141
Total energy in eV/f.u.: -13.7
Crystal system: tetragonal
DFT formation energy in meV per atom: -363.6
E above lowest polymorph in meV/atom: 0
ρ in g/cm³: 2.98

Structure (CIF):
```
data_RbCaAs2
_chemical_formula_sum 'Rb2 Ca2 As4'
_space_group_name_H-M_alt 'P 1'
_space_group_IT_number 1
_cell_length_a 10.547
_cell_length_b 10.547
_cell_length_c 10.547
_cell_angle_alpha 149.17
_cell_angle_beta 149.17
_cell_angle_gamma 44.17
loop_
_space_group_symop_operation_xyz
'x,y,z'
loop_
_atom_site_label
_atom_site_fract_x
_atom_site_fract_y
_atom_site_fract_z
_atom_site_occupancy
Rb1 0.375 0.625 0.750 1
Rb2 0.625 0.375 0.250 1
Ca1 0.125 0.875 0.250 1
Ca2 0.875 0.125 0.750 1
As1 0.000 0.000 0.000 1
As2 0.000 0.000 0.500 1
As3 0.000 0.500 0.000 1
As4 0.500 0.000 0.500 1
```